{"formula": "GaSi2Se", "functional": "PBE", "state": "optimized geometry", "lattice_angstrom": [[6.5716, 0.0000, 0.0000], [0.0000, 6.5716, 0.0000], [0.0000, 0.0000, 6.5716]], "species": ["Ga", "Ga", "Ga", "Ga", "Si", "Si", "Si", "Si", "Si", "Si", "Si", "Si", "Se", "Se", "Se", "Se"], "fractional_positions": [[0.0000, 0.0000, 0.0000], [0.0000, 0.5000, 0.5000], [0.5000, 0.0000, 0.5000], [0.5000, 0.5000, 0.0000], [0.2500, 0.2500, 0.2500], [0.2500, 0.2500, 0.7500], [0.2500, 0.7500, 0.2500], [0.2500, 0.7500, 0.7500], [0.7500, 0.2500, 0.2500], [0.7500, 0.2500, 0.7500], [0.7500, 0.7500, 0.2500], [0.7500, 0.7500, 0.7500], [0.0000, 0.0000, 0.5000], [0.0000, 0.5000, 0.0000], [0.5000, 0.0000, 0.0000], [0.5000, 0.5000, 0.5000]], "spacegroup": "No. 225", "de_polymorph_ev_per_fu": 0.98, "mass_density_g_cm3": 4.8, "e_form_raw_ev_per_atom": 0.50, "dos_ef_per_ev_fu": 1.65}


{"formula": "GaSi2Se", "functional": "PBE", "state": "optimized geometry", "lattice_angstrom": [[5.6608, 0.0000, 0.0000], [0.0000, 5.6608, 0.0000], [0.0000, 0.0000, 11.8013]], "species": ["Ga", "Ga", "Ga", "Ga", "Si", "Si", "Si", "Si", "Si", "Si", "Si", "Si", "Se", "Se", "Se", "Se"], "fractional_positions": [[0.0000, 0.0000, 0.0000], [0.0000, 0.5000, 0.2500], [0.5000, 0.0000, 0.7500], [0.5000, 0.5000, 0.5000], [0.2282, 0.2500, 0.1250], [0.2500, 0.7282, 0.3750], [0.2500, 0.7718, 0.8750], [0.2718, 0.2500, 0.6250], [0.7282, 0.7500, 0.6250], [0.7500, 0.2282, 0.8750], [0.7500, 0.2718, 0.3750], [0.7718, 0.7500, 0.1250], [0.0000, 0.0000, 0.5000], [0.0000, 0.5000, 0.7500], [0.5000, 0.0000, 0.2500], [0.5000, 0.5000, 0.0000]], "spacegroup": "No. 122", "de_polymorph_ev_per_fu": 0.00, "mass_density_g_cm3": 3.6, "e_form_raw_ev_per_atom": 0.25, "dos_ef_per_ev_fu": 3.13}


{"formula": "GaSi3Se", "functional": "PBE", "state": "optimized geometry", "lattice_angstrom": [[4.7959, 0.0000, 0.0000], [0.0000, 4.7959, 0.0000], [0.0000, 0.0000, 4.7959]], "species": ["Ga", "Si", "Si", "Si", "Se"], "fractional_positions": [[0.0000, 0.0000, 0.0000], [0.0000, 0.0000, 0.5000], [0.0000, 0.5000, 0.0000], [0.5000, 0.0000, 0.0000], [0.5000, 0.5000, 0.5000]], "spacegroup": "No. 221", "de_polymorph_ev_per_fu": 0.00, "mass_density_g_cm3": 3.5, "e_form_raw_ev_per_atom": 0.95, "dos_ef_per_ev_fu": 2.70}


{"formula": "GaSiSe3", "functional": "PBE", "state": "optimized geometry", "lattice_angstrom": [[7.6416, -1.8139, 0.0000], [7.6416, 1.8139, 0.0000], [-1.6422, 0.0000, 10.3669]], "species": ["Ga", "Ga", "Si", "Si", "Se", "Se", "Se", "Se", "Se", "Se"], "fractional_positions": [[0.0715, 0.0715, 0.4632], [0.9285, 0.9285, 0.5368], [0.4122, 0.4122, 0.2266], [0.5878, 0.5878, 0.7734], [0.1317, 0.1317, 0.9080], [0.3323, 0.3323, 0.3969], [0.4351, 0.4351, 0.7185], [0.5649, 0.5649, 0.2815], [0.6677, 0.6677, 0.6031], [0.8683, 0.8683, 0.0920]], "spacegroup": "No. 12", "mass_density_g_cm3": 3.9, "e_form_raw_ev_per_atom": -0.43}


{"formula": "GaSiSe3", "functional": "PBE", "state": "optimized geometry", "lattice_angstrom": [[4.8840, 0.0000, 0.0000], [0.0000, 4.8840, 0.0000], [0.0000, 0.0000, 4.8840]], "species": ["Ga", "Si", "Se", "Se", "Se"], "fractional_positions": [[0.0000, 0.0000, 0.0000], [0.5000, 0.5000, 0.5000], [0.0000, 0.5000, 0.5000], [0.5000, 0.0000, 0.5000], [0.5000, 0.5000, 0.0000]], "spacegroup": "No. 221", "mass_density_g_cm3": 4.8, "e_form_raw_ev_per_atom": 0.13, "dos_ef_per_ev_fu": 2.27}


{"formula": "GaSiSe4", "functional": "PBE", "state": "optimized geometry", "lattice_angstrom": [[5.6719, 0.0000, 0.0000], [0.0000, 5.6719, 0.0000], [0.0000, 0.0000, 9.8334]], "species": ["Ga", "Ga", "Si", "Si", "Se", "Se", "Se", "Se", "Se", "Se", "Se", "Se"], "fractional_positions": [[0.0000, 0.0000, 0.0000], [0.0000, 0.0000, 0.5000], [0.0000, 0.5000, 0.2500], [0.5000, 0.0000, 0.7500], [0.2566, 0.2679, 0.3723], [0.2566, 0.7321, 0.1277], [0.2679, 0.2566, 0.8723], [0.2679, 0.7434, 0.6277], [0.7321, 0.2566, 0.6277], [0.7321, 0.7434, 0.8723], [0.7434, 0.2679, 0.1277], [0.7434, 0.7321, 0.3723]], "spacegroup": "No. 112", "mass_density_g_cm3": 4.3, "e_form_raw_ev_per_atom": -0.35, "dos_ef_per_ev_fu": 4.56}


{"formula": "Tb4GaSiSe2", "functional": "PBE", "state": "optimized geometry", "lattice_angstrom": [[5.8345, 0.0000, 0.0000], [0.0000, 5.8345, 0.0000], [0.0000, 0.0000, 11.7291]], "species": ["Tb", "Tb", "Tb", "Tb", "Tb", "Tb", "Tb", "Tb", "Ga", "Ga", "Si", "Si", "Se", "Se", "Se", "Se"], "fractional_positions": [[0.0000, 0.0000, 0.2473], [0.0000, 0.0000, 0.7527], [0.0000, 0.5000, 0.0021], [0.0000, 0.5000, 0.4979], [0.5000, 0.0000, 0.5021], [0.5000, 0.0000, 0.9979], [0.5000, 0.5000, 0.2527], [0.5000, 0.5000, 0.7473], [0.0000, 0.0000, 0.5000], [0.5000, 0.5000, 0.0000], [0.0000, 0.5000, 0.2500], [0.5000, 0.0000, 0.7500], [0.0000, 0.0000, 0.0000], [0.0000, 0.5000, 0.7500], [0.5000, 0.0000, 0.2500], [0.5000, 0.5000, 0.5000]], "spacegroup": "No. 119", "mass_density_g_cm3": 7.4, "e_form_raw_ev_per_atom": -1.23, "dos_ef_per_ev_fu": 4.72}


{"formula": "Th4GaSiSe2", "functional": "PBE", "state": "optimized geometry", "lattice_angstrom": [[7.3158, 0.0000, 0.0000], [0.0000, 4.2934, 0.0000], [-2.5174, 0.0000, 7.0007]], "species": ["Th", "Th", "Th", "Th", "Ga", "Si", "Se", "Se"], "fractional_positions": [[0.2367, 0.0000, 0.2423], [0.2392, 0.5000, 0.7497], [0.7608, 0.5000, 0.2503], [0.7633, 0.0000, 0.7577], [0.0000, 0.0000, 0.5000], [0.0000, 0.5000, 0.0000], [0.5000, 0.0000, 0.0000], [0.5000, 0.5000, 0.5000]], "spacegroup": "No. 10", "mass_density_g_cm3": 8.9, "e_form_raw_ev_per_atom": -1.07, "dos_ef_per_ev_fu": 4.44}


{"formula": "Th6GaSi2Se3", "functional": "PBE", "state": "optimized geometry", "lattice_angstrom": [[9.2659, -2.1402, 0.0000], [9.2659, 2.1402, 0.0000], [-1.8388, 0.0000, 8.2900]], "species": ["Th", "Th", "Th", "Th", "Th", "Th", "Ga", "Si", "Si", "Se", "Se", "Se"], "fractional_positions": [[0.0041, 0.0041, 0.2462], [0.3298, 0.3298, 0.4253], [0.3351, 0.3351, 0.9059], [0.6649, 0.6649, 0.0941], [0.6702, 0.6702, 0.5747], [0.9959, 0.9959, 0.7538], [0.5000, 0.5000, 0.0000], [0.1671, 0.1671, 0.3341], [0.8329, 0.8329, 0.6659], [0.1659, 0.1659, 0.8338], [0.5000, 0.5000, 0.5000], [0.8341, 0.8341, 0.1662]], "spacegroup": "No. 12", "mass_density_g_cm3": 8.9, "e_form_raw_ev_per_atom": -1.11, "dos_ef_per_ev_fu": 6.90}


{"formula": "Tl2GaSiSe4", "functional": "PBE", "state": "optimized geometry", "lattice_angstrom": [[0.0000, 6.7929, 11.9750], [3.0478, 0.0000, 11.9750], [3.0478, 6.7929, 0.0000]], "species": ["Tl", "Tl", "Tl", "Tl", "Ga", "Ga", "Si", "Si", "Se", "Se", "Se", "Se", "Se", "Se", "Se", "Se"], "fractional_positions": [[0.0685, 0.0685, 0.6815], [0.3185, 0.3185, 0.9315], [0.6815, 0.6815, 0.0685], [0.9315, 0.9315, 0.3185], [0.1250, 0.1250, 0.1250], [0.8750, 0.8750, 0.8750], [0.3750, 0.3750, 0.3750], [0.6250, 0.6250, 0.6250], [0.0135, 0.3414, 0.4413], [0.2963, 0.5587, 0.6586], [0.3414, 0.0135, 0.7037], [0.4413, 0.7037, 0.0135], [0.5587, 0.2963, 0.9865], [0.6586, 0.9865, 0.2963], [0.7037, 0.4413, 0.3414], [0.9865, 0.6586, 0.5587]], "spacegroup": "No. 70", "mass_density_g_cm3": 5.5, "e_form_raw_ev_per_atom": -0.40, "dos_ef_per_ev_fu": 2.21}


{"formula": "Tm8Ga3SiSe4", "functional": "PBE", "state": "optimized geometry", "lattice_angstrom": [[3.9214, 2.2640, 7.1113], [-3.9214, 2.2640, 7.1113], [0.0000, -4.5280, 7.1113]], "species": ["Tm", "Tm", "Tm", "Tm", "Tm", "Tm", "Tm", "Tm", "Ga", "Ga", "Ga", "Si", "Se", "Se", "Se", "Se"], "fractional_positions": [[0.2485, 0.2485, 0.7512], [0.2485, 0.7512, 0.2485], [0.2489, 0.2489, 0.2489], [0.2488, 0.7515, 0.7515], [0.7512, 0.2485, 0.2485], [0.7511, 0.7511, 0.7511], [0.7515, 0.2488, 0.7515], [0.7515, 0.7515, 0.2488], [0.0000, 0.5000, 0.5000], [0.5000, 0.0000, 0.5000], [0.5000, 0.5000, 0.0000], [0.0000, 0.0000, 0.0000], [0.0000, 0.0000, 0.5000], [0.0000, 0.5000, 0.0000], [0.5000, 0.0000, 0.0000], [0.5000, 0.5000, 0.5000]], "spacegroup": "No. 166", "mass_density_g_cm3": 8.3, "e_form_raw_ev_per_atom": -1.15, "dos_ef_per_ev_fu": 5.51}


{"formula": "Tm4GaSiSe2", "functional": "PBE", "state": "optimized geometry", "lattice_angstrom": [[5.7309, 0.0000, 0.0000], [0.0000, 5.7309, 0.0000], [0.0000, 0.0000, 11.5237]], "species": ["Tm", "Tm", "Tm", "Tm", "Tm", "Tm", "Tm", "Tm", "Ga", "Ga", "Si", "Si", "Se", "Se", "Se", "Se"], "fractional_positions": [[0.0000, 0.0000, 0.2466], [0.0000, 0.0000, 0.7534], [0.0000, 0.5000, 0.5015], [0.0000, 0.5000, 0.9985], [0.5000, 0.0000, 0.0015], [0.5000, 0.0000, 0.4985], [0.5000, 0.5000, 0.2534], [0.5000, 0.5000, 0.7466], [0.0000, 0.5000, 0.2500], [0.5000, 0.0000, 0.7500], [0.0000, 0.0000, 0.0000], [0.5000, 0.5000, 0.5000], [0.0000, 0.0000, 0.5000], [0.0000, 0.5000, 0.7500], [0.5000, 0.0000, 0.2500], [0.5000, 0.5000, 0.0000]], "spacegroup": "No. 119", "mass_density_g_cm3": 8.2, "e_form_raw_ev_per_atom": -1.17, "dos_ef_per_ev_fu": 4.79}